No. 1
VASP calculation (PBE) on a relaxed Ac3CuGe4 crystal.

## Properties
total energy	-4.88	eV/atom
energy of formation	-0.517	eV/atom

Unit cell a=4.9003 b=5.9950 c=15.6225 alpha=90.00 beta=90.00 gamma=90.00
Closest atoms and distances in Å follow each position.
Space group Immm (No. 71)
One atom of each set of equivalent atoms:
Ac 0.0000 0.0000 0.0000 x2  8 Ge 3.32
Ac 0.0000 0.5000 0.1945 x4  6 Ge 3.21-3.25
Cu 0.0000 0.0000 0.5000 x2  4 Ge 2.46
Ge 0.0000 0.2792 0.3846 x8  1 Cu 2.46, 1 Ge 2.65

=====

No. 2
VASP calculation (PBE) on a relaxed InI2Cl crystal.

## Properties
offset from the most stable computed form	0	meV/atom
E_form (uncorrected)	-0.625	eV per atom
total energy	-2.55	eV/atom

Unit cell a=4.2089 b=5.8510 c=8.3053 alpha=110.34 beta=90.89 gamma=90.02
Closest atoms and distances in Å follow each position.
Space group P1 (No. 1)
One atom of each set of equivalent atoms:
In 0.0000 0.0000 0.0000 x1  2 Cl 2.60, 2 I 2.67
I 0.0089 0.3535 0.3082 x1  1 In 2.67
I 0.9909 0.0494 0.6919 x1  1 In 2.67
Cl 0.4999 0.7397 0.0000 x1  2 In 2.60

=====

No. 3
VASP calculation (PBE) on a relaxed Ti2RuI crystal.

## Properties
offset from the most stable computed form	0	meV/atom
E_form (uncorrected)	0.285	eV per atom
total energy	-6.37	eV/atom

Unit cell a=6.5317 b=6.5317 c=6.5317 alpha=90.00 beta=90.00 gamma=90.00
Closest atoms and distances in Å follow each position.
Space group Fm-3m (No. 225)
One atom of each set of equivalent atoms:
Ti 0.2500 0.2500 0.2500 x8  4 Ru 2.83, 4 I 2.83
Ru 0.0000 0.0000 0.0000 x4  8 Ti 2.83
I 0.0000 0.0000 0.5000 x4  8 Ti 2.83

=====

What did the second record say?
VASP calculation (PBE) on a relaxed InI2Cl crystal.

## Properties
offset from the most stable computed form	0	meV/atom
E_form (uncorrected)	-0.625	eV per atom
total energy	-2.55	eV/atom

Unit cell a=4.2089 b=5.8510 c=8.3053 alpha=110.34 beta=90.89 gamma=90.02
Closest atoms and distances in Å follow each position.
Space group P1 (No. 1)
One atom of each set of equivalent atoms:
In 0.0000 0.0000 0.0000 x1  2 Cl 2.60, 2 I 2.67
I 0.0089 0.3535 0.3082 x1  1 In 2.67
I 0.9909 0.0494 0.6919 x1  1 In 2.67
Cl 0.4999 0.7397 0.0000 x1  2 In 2.60